1.
First-principles (PBE) data for a relaxed structure of Rb2Cd2Hg, as listed in Alexandria.

Lattice parameters (Å, degrees): 12.7984 5.4030 13.1381 90.00 118.74 90.00
Last column: nearest neighbours and their distance in Å.
Space group C2/m (No. 12)
One atom of each set of equivalent atoms:
Rb 0.0054 0.0000 0.3312 (multiplicity 4)  7 Cd 3.71-4.03, 4 Hg 3.75-3.93
Rb 0.2043 0.0000 0.1185 (multiplicity 4)  6 Cd 3.73-3.98, 2 Hg 4.05
Cd 0.0009 0.5000 0.1142 (multiplicity 4)  1 Cd 2.99, 1 Hg 3.05
Cd 0.1438 0.5000 0.5497 (multiplicity 4)  3 Hg 3.13-3.14, 1 Cd 3.26
Hg 0.2196 0.5000 0.3549 (multiplicity 4)  4 Cd 3.05-3.14

Computed properties:
Spin magnetization ... 0.0 Bohr magnetons per cell
Formation energy from the elements ... -0.113 eV/atom
Total DFT energy (no corrections) ... -0.03406 hartree per atom

2.
First-principles (PBE) data for a relaxed structure of RbCd2Hg8, as listed in Alexandria.

Lattice parameters (Å, degrees): 6.3143 6.3143 20.8057 90.00 90.00 90.00
Last column: nearest neighbours and their distance in Å.
Space group I4/mmm (No. 139)
One atom of each set of equivalent atoms:
Rb 0.0000 0.0000 0.0000 (multiplicity 2)  8 Hg 3.72
Cd 0.0000 0.5000 0.2500 (multiplicity 4)  8 Hg 3.17
Hg 0.2470 0.2470 0.3580 (multiplicity 16)  4 Hg 3.12-3.20, 2 Cd 3.17

Computed properties:
Spin magnetization ... 0.0 Bohr magnetons per cell
Formation energy from the elements ... -0.022 eV/atom
Total DFT energy (no corrections) ... -0.01823 hartree per atom

3.
First-principles (PBE) data for a relaxed structure of Rb6Cd2Hg, as listed in Alexandria.

Lattice parameters (Å, degrees): 12.3984 12.4227 13.4576 90.00 90.00 90.00
Last column: nearest neighbours and their distance in Å.
Space group Immm (No. 71)
One atom of each set of equivalent atoms:
Rb 0.0000 0.2062 0.1749 (multiplicity 8)  3 Cd 3.80-3.87
Rb 0.1808 0.2322 0.5000 (multiplicity 8)  3 Cd 3.94-4.11, 1 Hg 4.01
Rb 0.1978 0.5000 0.2552 (multiplicity 8)  2 Cd 3.97-4.23, 2 Hg 4.11-4.22
Cd 0.0000 0.0000 0.3903 (multiplicity 4)  1 Cd 2.95
Cd 0.1241 0.0000 0.0000 (multiplicity 4)  1 Cd 3.08
Hg 0.0000 0.5000 0.0000 (multiplicity 2)  8 Rb 4.22-4.34
Hg 0.0000 0.5000 0.5000 (multiplicity 2)  8 Rb 4.01-4.11

Computed properties:
Spin magnetization ... 0.0 Bohr magnetons per cell
Formation energy from the elements ... -0.054 eV/atom
Total DFT energy (no corrections) ... -0.03440 hartree per atom

4.
First-principles (PBE) data for a relaxed structure of Rb3Cd6Hg5, as listed in Alexandria.

Lattice parameters (Å, degrees): 4.8876 14.5650 12.7595 90.00 90.00 90.00
Last column: nearest neighbours and their distance in Å.
Space group Pmmn (No. 59, origin choice 2)
One atom of each set of equivalent atoms:
Rb 0.2500 0.0989 0.2495 (multiplicity 4)  6 Hg 3.72-3.76, 5 Cd 3.89-4.14
Rb 0.2500 0.7500 0.2618 (multiplicity 2)  6 Hg 3.76-3.83, 10 Cd 3.88-4.08
Cd 0.2500 0.0637 0.6031 (multiplicity 4)  4 Hg 2.98-3.12, 1 Cd 3.01
Cd 0.2500 0.2500 0.5006 (multiplicity 2)  2 Cd 3.01, 4 Hg 3.03
Cd 0.2500 0.2500 0.9748 (multiplicity 2)  4 Hg 2.99-3.04
Cd 0.2500 0.5722 0.0142 (multiplicity 4)  4 Hg 3.03-3.09, 2 Cd 3.25
Hg 0.2500 0.0765 0.8417 (multiplicity 4)  5 Cd 3.04-3.09
Hg 0.2500 0.6304 0.5292 (multiplicity 4)  5 Cd 2.98-3.12
Hg 0.2500 0.7500 0.8906 (multiplicity 2)  4 Cd 2.99-3.03

Computed properties:
Spin magnetization ... 0.0 Bohr magnetons per cell
Formation energy from the elements ... -0.133 eV/atom
Total DFT energy (no corrections) ... -0.03087 hartree per atom

5.
First-principles (PBE) data for a relaxed structure of Rb3CdHg4, as listed in Alexandria.

Lattice parameters (Å, degrees): 6.9197 7.2562 7.5915 116.70 106.18 94.17
Last column: nearest neighbours and their distance in Å.
Space group P1 (No. 1)
One atom of each set of equivalent atoms:
Rb 0.0000 0.0000 0.0000 (multiplicity 1)  7 Hg 3.66-4.05, 1 Cd 3.75
Rb 0.3268 0.9209 0.5472 (multiplicity 1)  7 Hg 3.66-4.05, 1 Cd 3.76
Rb 0.6634 0.4605 0.2730 (multiplicity 1)  2 Cd 3.80, 6 Hg 3.81-4.08
Cd 0.6631 0.4608 0.7729 (multiplicity 1)  4 Hg 3.04-3.08
Hg 0.1166 0.4913 0.9851 (multiplicity 1)  1 Cd 3.04, 3 Hg 3.21-3.37
Hg 0.2092 0.4296 0.5623 (multiplicity 1)  1 Cd 3.04, 3 Hg 3.21-3.37
Hg 0.4968 0.8232 0.0483 (multiplicity 1)  1 Cd 3.07, 3 Hg 3.12-3.37
Hg 0.8292 0.0975 0.4982 (multiplicity 1)  1 Cd 3.08, 3 Hg 3.12-3.37

Computed properties:
Spin magnetization ... 0.0 Bohr magnetons per cell
Formation energy from the elements ... -0.180 eV/atom
Total DFT energy (no corrections) ... -0.02969 hartree per atom

6.
First-principles (PBE) data for a relaxed structure of Rb5Cd5Hg2, as listed in Alexandria.

Lattice parameters (Å, degrees): 18.8760 4.8618 13.9849 90.00 125.90 90.00
Last column: nearest neighbours and their distance in Å.
Space group C2/m (No. 12)
One atom of each set of equivalent atoms:
Rb 0.0000 0.0000 0.0000 (multiplicity 2)  4 Hg 3.81, 6 Cd 3.92-4.21
Rb 0.1257 0.5000 0.8238 (multiplicity 4)  5 Cd 3.76-3.90, 1 Hg 3.82
Rb 0.2002 0.5000 0.5902 (multiplicity 4)  7 Cd 3.76-4.03, 3 Hg 3.83-3.87
Cd 0.0000 0.0000 0.5000 (multiplicity 2)  2 Cd 3.03
Cd 0.0610 0.0000 0.3421 (multiplicity 4)  2 Hg 3.03, 1 Cd 3.03
Cd 0.2008 0.5000 0.1470 (multiplicity 4)  1 Hg 2.98
Hg 0.1066 0.5000 0.2591 (multiplicity 4)  3 Cd 2.98-3.03

Computed properties:
Spin magnetization ... 0.0 Bohr magnetons per cell
Formation energy from the elements ... -0.066 eV/atom
Total DFT energy (no corrections) ... -0.03311 hartree per atom

7.
First-principles (PBE) data for a relaxed structure of Rb2Cd2Hg, as listed in Alexandria.

Lattice parameters (Å, degrees): 7.2009 7.2009 8.8173 90.00 90.00 90.00
Last column: nearest neighbours and their distance in Å.
Space group I4/mmm (No. 139)
One atom of each set of equivalent atoms:
Rb 0.0000 0.5000 0.2500 (multiplicity 4)  4 Cd 3.68
Cd 0.0000 0.0000 0.1630 (multiplicity 4)  1 Cd 2.87, 1 Hg 2.97
Hg 0.0000 0.0000 0.5000 (multiplicity 2)  2 Cd 2.97

Computed properties:
Spin magnetization ... 0.0 Bohr magnetons per cell
Formation energy from the elements ... -0.007 eV/atom
Total DFT energy (no corrections) ... -0.03015 hartree per atom

8.
First-principles (PBE) data for a relaxed structure of Rb7Cd2Hg2, as listed in Alexandria.

Lattice parameters (Å, degrees): 8.4289 16.7629 10.0157 90.00 100.58 90.00
Last column: nearest neighbours and their distance in Å.
Space group C2/m (No. 12)
One atom of each set of equivalent atoms:
Rb 0.0000 0.0000 0.0000 (multiplicity 2)  2 Cd 3.58
Rb 0.1361 0.5000 0.2897 (multiplicity 4)  1 Cd 3.66, 2 Hg 4.04
Rb 0.2288 0.2885 0.7277 (multiplicity 8)  2 Hg 3.76-3.78, 1 Cd 3.85
Cd 0.1428 0.0000 0.3595 (multiplicity 4)  2 Hg 2.98
Hg 0.0000 0.1310 0.5000 (multiplicity 4)  2 Cd 2.98

Computed properties:
Spin magnetization ... 0.0 Bohr magnetons per cell
Formation energy from the elements ... -0.072 eV/atom
Total DFT energy (no corrections) ... -0.03339 hartree per atom